The following is a GGA-PBE calculation of a geometry-optimized RbLiSnI4 structure, from the Alexandria database. Values from VASP.

Summary:
E = -2.8209 eV/atom

```
&SYSTEM
  ibrav = 0, nat = 14, ntyp = 4
/
ATOMIC_SPECIES
Rb 85.47 Rb.upf
Li 6.94 Li.upf
Sn 118.71 Sn.upf
I 126.90 I.upf
ATOMIC_POSITIONS crystal
Rb 0.225 0.250 0.049
Rb 0.775 0.750 0.951
Li 0.237 0.750 0.330
Li 0.763 0.250 0.670
Sn 0.216 0.250 0.543
Sn 0.784 0.750 0.457
I 0.006 0.503 0.716
I 0.006 0.997 0.716
I 0.461 0.750 0.163
I 0.477 0.750 0.594
I 0.523 0.250 0.406
I 0.539 0.250 0.837
I 0.994 0.003 0.284
I 0.994 0.497 0.284
CELL_PARAMETERS angstrom
7.676 0.000 0.000
0.000 8.339 0.000
-3.033 0.000 9.419
```